# YErScCu | Alexandria via LeMat-Bulk | GGA-PBE | optimized geometry
data_YErScCu
_symmetry_space_group_name_H-M 'F -4 3 m'
_symmetry_Int_Tables_number 216
_symmetry_space_group_name_Hall 'F -4 2 3'
_cell_length_a 7.277
_cell_length_b 7.277
_cell_length_c 7.277
_cell_angle_alpha 90.00
_cell_angle_beta 90.00
_cell_angle_gamma 90.00
loop_
_atom_site_label
_atom_site_type_symbol
_atom_site_fract_x
_atom_site_fract_y
_atom_site_fract_z
Y1 Y 0.000 0.000 0.000
Er1 Er 0.000 0.000 0.500
Sc1 Sc 0.250 0.250 0.250
Cu1 Cu 0.250 0.250 0.750
# formation energy = 0.5 eV/f.u.
# size of the total moment = 0.0 μB/cell